Compound: Sm2InGa3Rh4
Source: Alexandria
Functional: PBE
Structure: relaxed

Properties
formation enthalpy at 0 K: -0.732 eV/atom
DOS at the Fermi energy: 0.74 states/eV per atom

The structure in CIF format:
```
data_Sm2InGa3Rh4
_space_group_name_H-M_alt 'P -4 m 2'
_space_group_IT_number 115
_space_group_name_Hall 'P -4 -2'
_cell_length_a 4.280
_cell_length_b 4.280
_cell_length_c 10.504
_cell_angle_alpha 90.00
_cell_angle_beta 90.00
_cell_angle_gamma 90.00
loop_
_atom_site_label
_atom_site_fract_x
_atom_site_fract_y
_atom_site_fract_z
Sm1 0.000 0.500 0.232
In1 0.000 0.000 0.500
Ga1 0.000 0.500 0.879
Ga2 0.500 0.500 0.500
Rh1 0.000 0.000 0.000
Rh2 0.000 0.500 0.646
Rh3 0.500 0.500 0.000
```